VASP calculation (PBE-GGA) on a relaxed structure of La2Tl3Zn.

Output
- Crystal system: orthorhombic
- Space group: Fmmm
- Calculated formation energy: -0.3169 eV/atom

a b c (Å): 10.083 9.532 6.343
angles (deg): 75.91 66.48 37.60
Positions (direct):
La  0.247  0.753  0.753
La  0.250  0.250  0.250
La  0.750  0.750  0.750
La  0.753  0.247  0.247
Tl  0.173  0.173  0.827
Tl  0.173  0.653  0.347
Tl  0.347  0.827  0.173
Tl  0.653  0.173  0.827
Tl  0.827  0.347  0.653
Tl  0.827  0.827  0.173
Zn  0.333  0.333  0.667
Zn  0.667  0.667  0.333

VASP calculation (PBE-GGA) on a relaxed structure of DyMgAs2.

Output
- Crystal system: trigonal
- Space group: R3m
- Calculated formation energy: -0.8541 eV/atom

a b c (Å): 6.737 6.737 6.737
angles (deg): 35.77 35.77 35.77
Positions (direct):
Dy  0.000  0.000  0.000
Mg  0.174  0.174  0.174
As  0.422  0.422  0.422
As  0.580  0.580  0.580

VASP calculation (PBE-GGA) on a relaxed structure of HoTmSiPd.

Output
- Crystal system: cubic
- Raw total energy: -5.662 eV per atom
- Space group: F-43m

a b c (Å): 4.931 4.931 4.931
angles (deg): 60.00 60.00 60.00
Positions (direct):
Ho  0.000  0.000  0.000
Tm  0.500  0.500  0.500
Si  0.250  0.250  0.250
Pd  0.750  0.750  0.750

VASP calculation (PBE-GGA) on a relaxed structure of FeSbSe2.

Output
- Crystal system: orthorhombic
- Raw total energy: -4.943 eV per atom
- Space group: Amm2

a b c (Å): 3.824 5.275 5.275
angles (deg): 52.54 90.00 90.00
Positions (direct):
Fe  0.000  0.000  0.000
Sb  0.500  0.181  0.181
Se  0.000  0.493  0.493
Se  0.500  0.836  0.836

| no. | DOS(E_F) (states/eV/f.u.) |
| --- | --- |
| 1 | 5.40 |
| 2 | 1.44 |
| 3 | 1.54 |
| 4 | 2.78 |